Version one
Below is a geometry-optimized V2SF structure, with properties calculated at the GGA+U level.

Results
**Size of the total moment**: 7.00 μB/f.u.

The structure in extended XYZ format:
```
4
Lattice="0.0000 3.0364 3.0364 3.0364 0.0000 3.0364 3.0364 3.0364 0.0000" Properties=species:S:1:pos:R:3 pbc="T T T"
V 1.5182 1.5182 1.5182
V 4.5546 4.5546 4.5546
S 3.0364 3.0364 3.0364
F 0.0000 0.0000 0.0000
```



Version two
Below is a geometry-optimized V2SF structure, with properties calculated at the GGA+U level.

Results
**Size of the total moment**: 7.00 μB/f.u.

The structure in extended XYZ format:
```
8
Lattice="-2.8805 4.0406 -4.0392 -1.4627 -4.8943 -3.8529 -4.9262 -0.8315 -2.3864" Properties=species:S:1:pos:R:3 pbc="T T T"
F -4.2802 -3.0763 -5.0927
F -2.1716 -0.4269 -3.9460
V -2.5883 -2.6459 -3.6254
V -5.3652 -1.0841 -4.8598
V -3.1321 1.5899 -3.4869
V -7.4530 -1.2303 -8.5849
S 0.0000 0.0000 0.0000
S -4.9891 1.3911 -5.1858
```



Which structure is most stable? version two, by 0.293 eV/atom over the runner-up.



Version one
Below is a geometry-optimized VSF3 structure, with properties calculated at the GGA+U level.

Results
**Size of the total moment**: 2.98 μB/f.u.

The structure in extended XYZ format:
```
5
Lattice="4.3265 0.0000 0.0000 0.0000 4.3265 0.0000 0.0000 0.0000 4.3265" Properties=species:S:1:pos:R:3 pbc="T T T"
S 0.0000 0.0000 0.0000
F 0.0000 0.0000 2.1632
F 0.0000 2.1632 0.0000
F 2.1632 0.0000 0.0000
V 2.1632 2.1632 2.1632
```



Version two
Below is a geometry-optimized VSF3 structure, with properties calculated at the GGA+U level.

Results
**Size of the total moment**: 4.79 μB/f.u.

The structure in extended XYZ format:
```
5
Lattice="4.1154 0.0000 0.0000 0.0000 4.1154 0.0000 0.0000 0.0000 4.1154" Properties=species:S:1:pos:R:3 pbc="T T T"
F 0.0000 0.0000 2.0577
F 0.0000 2.0577 0.0000
F 2.0577 0.0000 0.0000
S 2.0577 2.0577 2.0577
V 0.0000 0.0000 0.0000
```



Which structure is most stable? version two, by 1.203 eV/atom over the runner-up.



Version one
Below is a geometry-optimized WSF2 structure, with properties calculated at the GGA+U level.

Results
**Size of the total moment**: 2.00 μB/f.u.

The structure in extended XYZ format:
```
4
Lattice="0.0000 2.9764 2.9764 2.9764 0.0000 2.9764 2.9764 2.9764 0.0000" Properties=species:S:1:pos:R:3 pbc="T T T"
F 4.4646 4.4646 4.4646
F 1.4882 1.4882 1.4882
W 2.9764 2.9764 2.9764
S 0.0000 0.0000 0.0000
```



Version two
Below is a geometry-optimized WSF2 structure, with properties calculated at the GGA+U level.

Results
**Size of the total moment**: 0.33 μB/f.u.

The structure in extended XYZ format:
```
4
Lattice="1.6799 0.0000 10.6819 -0.8400 1.4548 10.6819 -0.8400 -1.4548 10.6819" Properties=species:S:1:pos:R:3 pbc="T T T"
F 0.0000 0.0000 30.1771
F 0.0000 0.0000 1.8685
W 0.0000 0.0000 0.0000
S 0.0000 0.0000 16.0228
```



Which structure is most stable? version two, by 0.533 eV/atom over the runner-up.